[1]
VASP calculation (PBE) on PmPrMgIn after structural relaxation.

Unit cell a=5.481 b=5.481 c=5.481 alpha=60.00 beta=60.00 gamma=60.00
Fractional coordinates of all 4 atoms:
Mg1 0.000 0.000 0.000
In1 0.500 0.500 0.500
Pm1 0.250 0.250 0.250
Pr1 0.750 0.750 0.750

- density (g/cm3) = 6.1
- VASP energy (eV for the cell shown) = -15.20

---

[2]
VASP calculation (PBE) on PmMgInPt after structural relaxation.

Unit cell a=5.006 b=5.006 c=5.006 alpha=60.00 beta=60.00 gamma=60.00
Fractional coordinates of all 4 atoms:
Pm1 0.000 0.000 0.000
Mg1 0.500 0.500 0.500
Pt1 0.750 0.750 0.750
In1 0.250 0.250 0.250

- density (g/cm3) = 9.0
- VASP energy (eV for the cell shown) = -17.64

---

[3]
VASP calculation (PBE) on PmPuMgIn after structural relaxation.

Unit cell a=5.408 b=5.408 c=5.408 alpha=60.00 beta=60.00 gamma=60.00
Fractional coordinates of all 4 atoms:
Pu1 0.750 0.750 0.750
Pm1 0.250 0.250 0.250
Mg1 0.000 0.000 0.000
In1 0.500 0.500 0.500

- density (g/cm3) = 7.8
- VASP energy (eV for the cell shown) = -23.88

---

[4]
VASP calculation (PBE) on PmMg2InSn after structural relaxation.

Unit cell a=3.606 b=9.045 c=8.876 alpha=90.00 beta=90.00 gamma=101.50
Fractional coordinates of all 10 atoms:
Mg1 0.166 0.331 0.947
Pm1 0.590 0.181 0.250
Mg2 0.166 0.331 0.553
Mg3 0.834 0.669 0.447
In1 0.000 0.000 0.000
Pm2 0.410 0.819 0.750
Sn1 0.752 0.505 0.750
Sn2 0.248 0.495 0.250
In2 0.000 0.000 0.500
Mg4 0.834 0.669 0.053

- density (g/cm3) = 5.0
- VASP energy (eV for the cell shown) = -31.40

---

[5]
VASP calculation (PBE) on SrPmMgIn after structural relaxation.

Unit cell a=3.965 b=3.965 c=8.076 alpha=90.00 beta=90.00 gamma=90.00
Fractional coordinates of all 4 atoms:
Mg1 0.500 0.500 0.582
Pm1 0.000 0.000 0.353
In1 0.500 0.500 0.131
Sr1 0.000 0.000 0.862

- density (g/cm3) = 4.9
- VASP energy (eV for the cell shown) = -11.83

---

[6]
VASP calculation (PBE) on SrPmMgIn after structural relaxation.

Unit cell a=5.607 b=5.607 c=5.607 alpha=60.00 beta=60.00 gamma=60.00
Fractional coordinates of all 4 atoms:
Sr1 0.750 0.750 0.750
Mg1 0.000 0.000 0.000
In1 0.500 0.500 0.500
Pm1 0.250 0.250 0.250

- density (g/cm3) = 5.0
- VASP energy (eV for the cell shown) = -11.81

---

[7]
VASP calculation (PBE) on SrPmMg2In4 after structural relaxation.

Unit cell a=5.327 b=5.327 c=9.269 alpha=73.30 beta=73.30 gamma=60.00
Fractional coordinates of all 8 atoms:
In1 0.874 0.874 0.379
In2 0.623 0.623 0.132
In3 0.126 0.126 0.621
Mg1 0.250 0.250 0.251
In4 0.377 0.377 0.868
Pm1 0.500 0.500 0.500
Mg2 0.750 0.750 0.749
Sr1 0.000 0.000 0.000

- density (g/cm3) = 5.7
- VASP energy (eV for the cell shown) = -22.97

---

[8]
VASP calculation (PBE) on TbPmMgIn after structural relaxation.

Unit cell a=5.388 b=5.388 c=5.388 alpha=60.00 beta=60.00 gamma=60.00
Fractional coordinates of all 4 atoms:
Mg1 0.000 0.000 0.000
In1 0.500 0.500 0.500
Pm1 0.750 0.750 0.750
Tb1 0.250 0.250 0.250

- density (g/cm3) = 6.7
- VASP energy (eV for the cell shown) = -15.05

---

[9]
VASP calculation (PBE) on PmThMgIn after structural relaxation.

Unit cell a=5.449 b=5.449 c=5.449 alpha=60.00 beta=60.00 gamma=60.00
Fractional coordinates of all 4 atoms:
Pm1 0.750 0.750 0.750
Mg1 0.000 0.000 0.000
Th1 0.250 0.250 0.250
In1 0.500 0.500 0.500

- density (g/cm3) = 7.5
- VASP energy (eV for the cell shown) = -17.25

---

[10]
VASP calculation (PBE) on PmMgTlIn after structural relaxation.

Unit cell a=5.299 b=5.299 c=5.299 alpha=60.00 beta=60.00 gamma=60.00
Fractional coordinates of all 4 atoms:
Pm1 0.500 0.500 0.500
Mg1 0.000 0.000 0.000
In1 0.250 0.250 0.250
Tl1 0.750 0.750 0.750

- density (g/cm3) = 7.7
- VASP energy (eV for the cell shown) = -12.53

---

[11]
VASP calculation (PBE) on PmMgTlIn after structural relaxation.

Unit cell a=4.593 b=4.760 c=4.728 alpha=90.00 beta=90.00 gamma=90.00
Fractional coordinates of all 4 atoms:
Tl1 0.000 0.000 0.000
In1 0.000 0.500 0.500
Mg1 0.500 0.000 0.500
Pm1 0.500 0.500 0.000

- density (g/cm3) = 7.8
- VASP energy (eV for the cell shown) = -12.88

---

[12]
VASP calculation (PBE) on PmTmMgIn after structural relaxation.

Unit cell a=5.343 b=5.343 c=5.343 alpha=60.00 beta=60.00 gamma=60.00
Fractional coordinates of all 4 atoms:
Mg1 0.000 0.000 0.000
In1 0.500 0.500 0.500
Tm1 0.750 0.750 0.750
Pm1 0.250 0.250 0.250

- density (g/cm3) = 7.0
- VASP energy (eV for the cell shown) = -14.81

---

Q: What is the density in the third record?
A: 7.8 g/cm3